Material: Sr3TaAu
Method: DFT, PBEsol
State: optimized geometry

Lattice parameters (Å, degrees): 5.8019 5.8019 5.8019 90.00 90.00 90.00
Space group Pm-3m (No. 221)
One atom of each set of equivalent atoms:
Sr: 0.0000 0.0000 0.5000 [3 per cell]
Ta: 0.5000 0.5000 0.5000 [1 per cell]
Au: 0.0000 0.0000 0.0000 [1 per cell]

Output
Formation energy from the elements   752 meV/atom